DFT (PBE) results for a geometry-optimized Ca2GePt structure.

E_tot ... -4.35 eV per atom
Magnetic moment ... 0.000 μB per formula unit
Calculated formation energy ... -689 meV/atom
Crystal system ... tetragonal

Cell lengths 3.554, 3.554, 7.193 Å; angles 90.00, 90.00, 90.00 degrees
Positions (direct):
Ge: 0.500 0.500 0.500
Ca: 0.000 0.000 0.764
Ca: 0.000 0.000 0.236
Pt: 0.500 0.500 0.000